Entry 1:
Material: Li2BeH6Ru
Method: DFT, PBE
State: relaxed

a = 4.6295 Å, b = 4.6295 Å, c = 6.5460 Å
α = 90.00°, β = 90.00°, γ = 90.00°
With the nearest neighbours (Å) after each atom.
Atoms (fractional coordinates):
H  0.2412  0.9903  0.5000  1 Be 1.58, 1 Ru 1.70
H  0.0000  0.7503  0.2592  1 Be 1.58, 1 Ru 1.70
H  0.2588  0.0097  0.0000  1 Be 1.58, 1 Ru 1.70
Li  0.5000  0.7495  0.2500  12 H 2.31-2.32
H  0.7588  0.9903  0.5000  1 Be 1.58, 1 Ru 1.70
Be  0.0000  0.7501  0.5000  6 H 1.58
H  0.7405  0.4914  0.0000  1 Be 1.58, 1 Ru 1.70
Ru  0.5000  0.2497  0.5000  6 H 1.70
Ru  0.0000  0.7503  0.0000  6 H 1.70
H  0.0000  0.7503  0.7408  1 Be 1.58, 1 Ru 1.70
H  0.2595  0.4914  0.0000  1 Be 1.58, 1 Ru 1.70
Be  0.5000  0.2499  0.0000  6 H 1.58
Li  0.5000  0.7495  0.7500  12 H 2.31-2.32
Li  0.0000  0.2505  0.2500  12 H 2.31-2.32
Li  0.0000  0.2505  0.7500  12 H 2.31-2.32
H  0.2405  0.5086  0.5000  1 Be 1.58, 1 Ru 1.70
H  0.5000  0.2497  0.2408  1 Be 1.58, 1 Ru 1.70
H  0.7595  0.5086  0.5000  1 Be 1.58, 1 Ru 1.70
H  0.5000  0.2497  0.7592  1 Be 1.58, 1 Ru 1.70
H  0.7412  0.0097  0.0000  1 Be 1.58, 1 Ru 1.70

crystal system: cubic
DFT total energy: -3.899 eV/atom



Entry 2:
Material: LiBeHS
Method: DFT, PBE
State: relaxed

a = 3.4029 Å, b = 3.4029 Å, c = 9.6494 Å
α = 79.84°, β = 79.84°, γ = 60.00°
With the nearest neighbours (Å) after each atom.
Atoms (fractional coordinates):
Li  0.5000  0.5000  0.5000  6 H 2.12
H  0.8053  0.8053  0.5842  1 Be 1.43
S  0.3944  0.3944  0.8168  3 Be 2.11
Be  0.2450  0.2450  0.2649  1 H 1.43
Be  0.7550  0.7550  0.7351  1 H 1.43
H  0.1947  0.1947  0.4158  1 Be 1.43
Li  0.0000  0.0000  0.0000  6 S 2.62
S  0.6056  0.6056  0.1832  3 Be 2.11

DOS(E_F): 0.00 states/eV/f.u.
crystal system: trigonal
DFT total energy: -4.058 eV/atom



Entry 3:
Material: LiSc2BeH
Method: DFT, PBE
State: relaxed

a = 4.5187 Å, b = 4.5187 Å, c = 3.4623 Å
α = 90.00°, β = 90.00°, γ = 90.00°
With the nearest neighbours (Å) after each atom.
Atoms (fractional coordinates):
Sc  0.0000  0.5000  0.0000  2 H 2.26
Sc  0.5000  0.0000  0.0000  2 H 2.26
Be  0.5000  0.5000  0.5000  8 Sc 2.85
Li  0.0000  0.0000  0.5000  2 H 1.73
H  0.0000  0.0000  0.0000  2 Li 1.73

DOS(E_F): 4.04 states/eV/f.u.
crystal system: tetragonal
DFT total energy: -4.442 eV/atom



Entry 4:
Material: LiBe2HSe
Method: DFT, PBE
State: relaxed

a = 4.2975 Å, b = 3.2896 Å, c = 4.2975 Å
α = 90.00°, β = 90.00°, γ = 90.00°
With the nearest neighbours (Å) after each atom.
Atoms (fractional coordinates):
Se  0.5000  0.5000  0.5000  8 Be 2.71
Be  0.5000  0.0000  0.0000  2 Li 2.15
Be  0.0000  0.0000  0.5000  2 Li 2.15
H  0.0000  0.5000  0.0000  2 Li 1.64
Li  0.0000  0.0000  0.0000  2 H 1.64

DOS(E_F): 2.10 states/eV/f.u.
crystal system: tetragonal
DFT total energy: -2.379 eV/atom



Entry 5:
Material: SrLiBe2H8
Method: DFT, PBE
State: relaxed

a = 4.4607 Å, b = 4.4607 Å, c = 6.6522 Å
α = 90.00°, β = 90.00°, γ = 120.00°
With the nearest neighbours (Å) after each atom.
Atoms (fractional coordinates):
Sr  0.0000  0.0000  0.0000  12 H 2.52-2.59
H  0.3333  0.6667  0.9525  1 Be 1.50
H  0.6961  0.0336  0.3114  1 Be 1.43
Li  0.0000  0.0000  0.5000  6 H 1.91
H  0.0336  0.3375  0.6886  1 Be 1.43
Be  0.3333  0.6667  0.7266  4 H 1.43-1.50
Be  0.6667  0.3333  0.2734  4 H 1.43-1.50
H  0.3039  0.9664  0.6886  1 Be 1.43
H  0.6625  0.6961  0.6886  1 Be 1.43
H  0.9664  0.6625  0.3114  1 Be 1.43
H  0.3375  0.3039  0.3114  1 Be 1.43
H  0.6667  0.3333  0.0475  1 Be 1.50

DOS(E_F): 5.54 states/eV/f.u.
crystal system: trigonal
DFT total energy: -3.234 eV/atom



Entry 6:
Material: LiThBe2H8
Method: DFT, PBE
State: relaxed

a = 4.3126 Å, b = 4.3126 Å, c = 6.7086 Å
α = 71.25°, β = 71.25°, γ = 60.00°
With the nearest neighbours (Å) after each atom.
Atoms (fractional coordinates):
H  0.6953  0.0709  0.8072  1 Be 1.42
H  0.9291  0.5733  0.1928  1 Be 1.42
Th  0.5000  0.5000  0.5000  12 H 2.34-2.49
Be  0.7457  0.7457  0.7628  4 H 1.42-1.51
H  0.0709  0.4267  0.8072  1 Be 1.42
H  0.3047  0.9291  0.1928  1 Be 1.42
Li  0.0000  0.0000  0.0000  6 H 1.98
H  0.1734  0.1734  0.4797  1 Be 1.51
H  0.5733  0.3047  0.1928  1 Be 1.42
Be  0.2543  0.2543  0.2372  4 H 1.42-1.51
H  0.8266  0.8266  0.5203  1 Be 1.51
H  0.4267  0.6953  0.8072  1 Be 1.42

DOS(E_F): 2.13 states/eV/f.u.
crystal system: trigonal
DFT total energy: -3.884 eV/atom



Entry 7:
Material: LiTmBe2H8
Method: DFT, PBE
State: relaxed

a = 4.3777 Å, b = 4.3777 Å, c = 6.3393 Å
α = 90.00°, β = 90.00°, γ = 120.00°
With the nearest neighbours (Å) after each atom.
Atoms (fractional coordinates):
H  0.3207  0.2338  0.2803  1 Be 1.40
H  0.2338  0.9131  0.7197  1 Be 1.40
H  0.6667  0.3333  0.9931  1 Be 1.47
Tm  0.0000  0.0000  0.0000  6 H 2.18
H  0.0869  0.3207  0.7197  1 Be 1.40
Be  0.3333  0.6667  0.7756  4 H 1.40-1.47
H  0.9131  0.6793  0.2803  1 Be 1.40
H  0.6793  0.7662  0.7197  1 Be 1.40
H  0.3333  0.6667  0.0069  1 Be 1.47
H  0.7662  0.0869  0.2803  1 Be 1.40
Be  0.6667  0.3333  0.2244  4 H 1.40-1.47
Li  0.0000  0.0000  0.5000  6 H 1.88

DOS(E_F): 0.00 states/eV/f.u.
crystal system: trigonal
DFT total energy: -3.686 eV/atom



Entry 8:
Material: LiY2BeH
Method: DFT, PBE
State: relaxed

a = 4.8824 Å, b = 4.8824 Å, c = 3.6417 Å
α = 90.00°, β = 90.00°, γ = 90.00°
With the nearest neighbours (Å) after each atom.
Atoms (fractional coordinates):
Y  0.5000  0.0000  0.0000  2 H 2.44
Be  0.5000  0.5000  0.5000  8 Y 3.05
Y  0.0000  0.5000  0.0000  2 H 2.44
Li  0.0000  0.0000  0.5000  2 H 1.82
H  0.0000  0.0000  0.0000  2 Li 1.82

DOS(E_F): 4.34 states/eV/f.u.
crystal system: tetragonal
DFT total energy: -4.486 eV/atom



Entry 9:
Material: LiYBe2H8
Method: DFT, PBE
State: relaxed

a = 4.3969 Å, b = 4.3969 Å, c = 6.4089 Å
α = 90.00°, β = 90.00°, γ = 120.00°
With the nearest neighbours (Å) after each atom.
Atoms (fractional coordinates):
H  0.3229  0.2431  0.2843  1 Be 1.40
H  0.7569  0.0798  0.2843  1 Be 1.40
Li  0.0000  0.0000  0.5000  6 H 1.88
H  0.6667  0.3333  0.0006  1 Be 1.47
Y  0.0000  0.0000  0.0000  6 H 2.23
H  0.3333  0.6667  0.9994  1 Be 1.47
H  0.9202  0.6771  0.2843  1 Be 1.40
H  0.0798  0.3229  0.7157  1 Be 1.40
Be  0.6667  0.3333  0.2305  4 H 1.40-1.47
Be  0.3333  0.6667  0.7695  4 H 1.40-1.47
H  0.2431  0.9202  0.7157  1 Be 1.40
H  0.6771  0.7569  0.7157  1 Be 1.40

DOS(E_F): 0.00 states/eV/f.u.
crystal system: trigonal
DFT total energy: -3.858 eV/atom



Entry 10:
Material: LiBeZn2H
Method: DFT, PBE
State: relaxed

a = 4.2735 Å, b = 4.8411 Å, c = 4.2735 Å
α = 90.00°, β = 90.00°, γ = 90.00°
With the nearest neighbours (Å) after each atom.
Atoms (fractional coordinates):
Zn  0.0000  0.0000  0.5000  2 Be 2.14
Be  0.0000  0.0000  0.0000  4 Zn 2.14
Li  0.0000  0.5000  0.0000  2 Be 2.42
Zn  0.5000  0.0000  0.0000  2 Be 2.14
H  0.5000  0.5000  0.5000  4 Li 3.02, 8 Zn 3.23

DOS(E_F): 1.47 states/eV/f.u.
crystal system: tetragonal
DFT total energy: -1.687 eV/atom



Entry 11:
Material: LiZr2BeH
Method: DFT, PBE
State: relaxed

a = 4.4941 Å, b = 4.4941 Å, c = 3.4133 Å
α = 90.00°, β = 90.00°, γ = 90.00°
With the nearest neighbours (Å) after each atom.
Atoms (fractional coordinates):
Zr  0.0000  0.5000  0.0000  2 H 2.25
Zr  0.5000  0.0000  0.0000  2 H 2.25
Be  0.5000  0.5000  0.5000  8 Zr 2.82
H  0.0000  0.0000  0.0000  2 Li 1.71
Li  0.0000  0.0000  0.5000  2 H 1.71

DOS(E_F): 1.92 states/eV/f.u.
crystal system: tetragonal
DFT total energy: -5.304 eV/atom



Entry 12:
Material: LuBe2H6
Method: DFT, PBE
State: relaxed

a = 4.7741 Å, b = 4.7740 Å, c = 4.7741 Å
α = 60.00°, β = 60.00°, γ = 60.00°
With the nearest neighbours (Å) after each atom.
Atoms (fractional coordinates):
H  0.2907  0.7093  0.7093  1 Lu 1.96, 4 H 2.00
Be  0.7500  0.7500  0.7500  12 H 2.40
Be  0.2500  0.2500  0.2500  12 H 2.40
H  0.7093  0.7093  0.2907  1 Lu 1.96, 4 H 2.00
H  0.7093  0.2907  0.7093  1 Lu 1.96, 4 H 2.00
H  0.2907  0.2907  0.7093  1 Lu 1.96, 4 H 2.00
H  0.2907  0.7093  0.2907  1 Lu 1.96, 4 H 2.00
Lu  0.0000  0.0000  0.0000  6 H 1.96
H  0.7093  0.2907  0.2907  1 Lu 1.96, 4 H 2.00

DOS(E_F): 3.39 states/eV/f.u.
crystal system: cubic
DFT total energy: -2.742 eV/atom



Entry 13:
Material: LuBeH
Method: DFT, PBE
State: relaxed

a = 3.0503 Å, b = 3.0503 Å, c = 9.3120 Å
α = 99.43°, β = 99.43°, γ = 90.00°
With the nearest neighbours (Å) after each atom.
Atoms (fractional coordinates):
Lu  0.3319  0.3319  0.6638  5 H 2.20-2.29
Lu  0.6681  0.6681  0.3362  5 H 2.20-2.29
Be  0.9408  0.9408  0.8816  1 Be 2.14
H  0.2102  0.2102  0.4205  5 Lu 2.20-2.29
Be  0.0592  0.0592  0.1184  1 Be 2.14
H  0.7898  0.7898  0.5795  5 Lu 2.20-2.29

DOS(E_F): 1.90 states/eV/f.u.
crystal system: tetragonal
DFT total energy: -3.652 eV/atom



Entry 14:
Material: Mg2BeH6
Method: DFT, PBE
State: relaxed

a = 4.4408 Å, b = 4.4408 Å, c = 4.4408 Å
α = 60.00°, β = 60.00°, γ = 60.00°
With the nearest neighbours (Å) after each atom.
Atoms (fractional coordinates):
H  0.2524  0.2524  0.7476  1 Be 1.59
Be  0.0000  0.0000  0.0000  6 H 1.59
H  0.7476  0.2524  0.7476  1 Be 1.59
Mg  0.2500  0.2500  0.2500  12 H 2.22
Mg  0.7500  0.7500  0.7500  12 H 2.22
H  0.2524  0.7476  0.7476  1 Be 1.59
H  0.2524  0.7476  0.2524  1 Be 1.59
H  0.7476  0.7476  0.2524  1 Be 1.59
H  0.7476  0.2524  0.2524  1 Be 1.59

crystal system: cubic
polymorph energy (0 for the lowest one): 147.2 meV/atom
DFT total energy: -2.952 eV/atom



Entry 15:
Material: MgBe2H6
Method: DFT, PBE
State: relaxed

a = 4.0404 Å, b = 6.7879 Å, c = 6.7879 Å
α = 90.95°, β = 107.32°, γ = 107.32°
With the nearest neighbours (Å) after each atom.
Atoms (fractional coordinates):
H  0.8536  0.7405  0.0299  1 Be 1.41
H  0.3262  0.1864  0.3149  2 Be 1.44-1.46
H  0.4172  0.5307  0.2397  1 Be 1.41
H  0.1464  0.2595  0.9701  1 Be 1.41
H  0.3536  0.0299  0.7405  1 Be 1.41
Be  0.8146  0.6768  0.8226  4 H 1.41-1.46
H  0.9172  0.2397  0.5307  1 Be 1.41
Mg  0.2500  0.7503  0.2497  4 H 1.82
H  0.6738  0.8136  0.6851  2 Be 1.44-1.46
H  0.0828  0.7603  0.4693  1 Be 1.41
H  0.6464  0.9701  0.2595  1 Be 1.41
Be  0.1854  0.3232  0.1774  4 H 1.41-1.46
Be  0.6854  0.1774  0.3232  4 H 1.41-1.46
H  0.1738  0.6851  0.8136  2 Be 1.44-1.46
H  0.8262  0.3149  0.1864  2 Be 1.44-1.46
Mg  0.7500  0.2497  0.7503  4 H 1.82
H  0.5828  0.4693  0.7603  1 Be 1.41
Be  0.3146  0.8226  0.6768  4 H 1.41-1.46

DOS(E_F): 0.00 states/eV/f.u.
crystal system: monoclinic
polymorph energy (0 for the lowest one): 0.0 meV/atom
DFT total energy: -3.345 eV/atom



Entry 16:
Material: MgBe3H
Method: DFT, PBE
State: relaxed

a = 3.6467 Å, b = 3.6467 Å, c = 3.6467 Å
α = 90.00°, β = 90.00°, γ = 90.00°
With the nearest neighbours (Å) after each atom.
Atoms (fractional coordinates):
Be  0.5000  0.0000  0.0000  2 H 1.82
Be  0.0000  0.0000  0.5000  2 H 1.82
H  0.0000  0.0000  0.0000  6 Be 1.82
Be  0.0000  0.5000  0.0000  2 H 1.82
Mg  0.5000  0.5000  0.5000  12 Be 2.58

DOS(E_F): 1.71 states/eV/f.u.
crystal system: cubic
polymorph energy (0 for the lowest one): 0.0 meV/atom
DFT total energy: -2.692 eV/atom



Entry 17:
Material: MgBe2H
Method: DFT, PBE
State: relaxed

a = 4.8863 Å, b = 4.8863 Å, c = 4.8881 Å
α = 60.01°, β = 60.01°, γ = 90.00°
With the nearest neighbours (Å) after each atom.
Atoms (fractional coordinates):
Mg  0.7500  0.2500  0.5000  12 Be 2.86-2.87, 4 H 2.99, 4 Mg 2.99
Be  0.8750  0.6247  0.7500  2 H 1.50
Be  0.3753  0.6250  0.2500  2 H 1.50
Mg  0.0000  0.0000  0.0000  12 Be 2.86-2.87, 4 H 2.99, 4 Mg 2.99
H  0.2500  0.7500  0.5000  4 Be 1.50
Be  0.3750  0.6253  0.7500  2 H 1.50
Be  0.3747  0.1250  0.2500  2 H 1.50
H  0.5000  0.5000  0.0000  4 Be 1.50

DOS(E_F): 1.53 states/eV/f.u.
crystal system: cubic
polymorph energy (0 for the lowest one): 0.0 meV/atom
DFT total energy: -2.716 eV/atom



Entry 18:
Material: Mg2BeH6
Method: DFT, PBE
State: relaxed

a = 4.4485 Å, b = 4.9160 Å, c = 6.4782 Å
α = 90.00°, β = 91.97°, γ = 90.00°
With the nearest neighbours (Å) after each atom.
Atoms (fractional coordinates):
H  0.8478  0.7084  0.5689  1 Be 1.65
H  0.1284  0.0444  0.7299  1 Be 1.59
Mg  0.4721  0.0951  0.2535  6 H 1.90-2.10
H  0.6522  0.2084  0.9311  1 Be 1.65
H  0.8716  0.9556  0.2701  1 Be 1.59
H  0.1522  0.2916  0.4311  1 Be 1.65
H  0.2986  0.8374  0.4453  1 Be 1.60
H  0.7986  0.6626  0.9453  1 Be 1.60
H  0.3716  0.5444  0.7701  1 Be 1.59
Be  0.5000  0.5000  0.0000  6 H 1.59-1.65
Mg  0.9721  0.4049  0.7535  6 H 1.90-2.10
H  0.2014  0.3374  0.0547  1 Be 1.60
H  0.3478  0.7916  0.0689  1 Be 1.65
H  0.6284  0.4556  0.2299  1 Be 1.59
Mg  0.0279  0.5951  0.2465  6 H 1.90-2.10
Be  0.0000  0.0000  0.5000  6 H 1.59-1.65
H  0.7014  0.1626  0.5547  1 Be 1.60
Mg  0.5279  0.9049  0.7465  6 H 1.90-2.10

DOS(E_F): 0.00 states/eV/f.u.
crystal system: monoclinic
polymorph energy (0 for the lowest one): 0.0 meV/atom
DFT total energy: -3.100 eV/atom



Entry 19:
Material: MgBe2H6
Method: DFT, PBE
State: relaxed

a = 4.6152 Å, b = 5.9353 Å, c = 5.9353 Å
α = 85.20°, β = 76.07°, γ = 76.07°
With the nearest neighbours (Å) after each atom.
Atoms (fractional coordinates):
H  0.1642  0.0992  0.5849  1 Be 1.41
Mg  0.7500  0.8622  0.1378  4 H 1.83-1.92
H  0.0391  0.6169  0.6590  2 Be 1.44-1.45
H  0.3358  0.4151  0.9008  1 Be 1.41
H  0.3373  0.0444  0.1904  1 Be 1.44
H  0.1627  0.8096  0.9556  1 Be 1.44
H  0.5391  0.6590  0.6169  2 Be 1.44-1.45
H  0.4609  0.3410  0.3831  2 Be 1.44-1.45
Be  0.2338  0.2154  0.3686  4 H 1.41-1.45
H  0.9609  0.3831  0.3410  2 Be 1.44-1.45
H  0.6627  0.9556  0.8096  1 Be 1.44
H  0.8373  0.1904  0.0444  1 Be 1.44
Be  0.7338  0.3686  0.2154  4 H 1.41-1.45
H  0.8358  0.9008  0.4151  1 Be 1.41
Mg  0.2500  0.1378  0.8622  4 H 1.83-1.92
Be  0.7662  0.7846  0.6314  4 H 1.41-1.45
Be  0.2662  0.6314  0.7846  4 H 1.41-1.45
H  0.6642  0.5849  0.0992  1 Be 1.41

DOS(E_F): 0.00 states/eV/f.u.
crystal system: monoclinic
polymorph energy (0 for the lowest one): 2.3 meV/atom
DFT total energy: -3.343 eV/atom



Entry 20:
Material: MgBe3H
Method: DFT, PBE
State: relaxed

a = 4.6856 Å, b = 4.6856 Å, c = 4.6856 Å
α = 90.00°, β = 90.00°, γ = 90.00°
With the nearest neighbours (Å) after each atom.
Atoms (fractional coordinates):
Be  0.0000  0.0000  0.5000  2 Mg 2.34
Be  0.5000  0.0000  0.0000  2 Mg 2.34
Be  0.0000  0.5000  0.0000  2 Mg 2.34
H  0.5000  0.5000  0.5000  12 Be 3.31
Mg  0.0000  0.0000  0.0000  6 Be 2.34

DOS(E_F): 1.91 states/eV/f.u.
crystal system: cubic
polymorph energy (0 for the lowest one): 1439.0 meV/atom
DFT total energy: -1.253 eV/atom